[1]
DFT (GGA-PBE) results for crystalline Y4Sn2S at its relaxed geometry.

a = 5.0426 Å, b = 5.0426 Å, c = 8.7688 Å
α = 73.29°, β = 73.29°, γ = 90.00°
Element x y z (fractional)
Y  0.8306  0.8306  0.3389
Y  0.1694  0.1694  0.6611
Y  0.0000  0.5000  0.0000
Y  0.5000  0.0000  0.0000
S  0.0000  0.0000  0.0000
Sn  0.6368  0.6368  0.7264
Sn  0.3632  0.3632  0.2736

Output
The raw formation energy is -610 kJ/mol of formula units.

=====

[2]
DFT (GGA-PBE) results for crystalline La3CoSn at its relaxed geometry.

a = 6.0931 Å, b = 10.6744 Å, c = 8.5956 Å
α = 90.00°, β = 90.00°, γ = 90.00°
Element x y z (fractional)
Co  0.9730  0.2500  0.4077
Co  0.5270  0.7500  0.9077
Co  0.0270  0.7500  0.5923
Co  0.4730  0.2500  0.0923
Sn  0.0000  0.0000  0.5000
Sn  0.5000  0.5000  0.0000
Sn  0.5000  0.0000  0.0000
Sn  0.0000  0.5000  0.5000
La  0.0163  0.8965  0.8519
La  0.4837  0.3965  0.3519
La  0.4837  0.1035  0.3519
La  0.9837  0.3965  0.1481
La  0.9837  0.1035  0.1481
La  0.5163  0.6035  0.6481
La  0.5163  0.8965  0.6481
La  0.0163  0.6035  0.8519
La  0.2982  0.2500  0.8015
La  0.2018  0.7500  0.3015
La  0.7018  0.7500  0.1985
La  0.7982  0.2500  0.6985

Output
The calculation puts the distance to the lowest polymorph of the same formula at 84.1 kJ/mol of formula units. The energy relative to the elements comes out at -0.27 eV per atom.

=====

[3]
DFT (GGA-PBE) results for crystalline U5Pa3As8 at its relaxed geometry.

a = 8.1272 Å, b = 8.1272 Å, c = 8.2147 Å
α = 60.35°, β = 60.35°, γ = 60.00°
Site moments in Bohr magnetons follow the coordinates.
Element x y z (fractional)
U  0.5000  0.0000  0.0000  2.12
U  0.5000  0.5000  0.0000  2.12
U  0.0000  0.0000  0.0000  2.12
U  0.0000  0.5000  0.0000  2.12
U  0.5000  0.5000  0.5000  2.11
Pa  0.5000  0.0000  0.5000  0.01
Pa  0.0000  0.0000  0.5000  0.01
Pa  0.0000  0.5000  0.5000  0.01
As  0.2499  0.2499  0.7506  -0.04
As  0.2499  0.7496  0.7506  -0.04
As  0.7496  0.2499  0.7506  -0.04
As  0.7497  0.7497  0.7510  -0.03
As  0.7501  0.7501  0.2494  -0.04
As  0.7501  0.2504  0.2494  -0.04
As  0.2504  0.7501  0.2494  -0.04
As  0.2503  0.2503  0.2490  -0.03

Output
The energy relative to the elements comes out at -0.84 eV per atom.

=====

no.,uncorrected energy (eV per atom)
1,-6.33
2,-5.45
3,-8.47